First-principles (PBE) data for a relaxed SiTe2As crystal, as listed in Alexandria.

abc: 5.127 5.127 4.078
angles: 90.00 90.00 108.24
Sites, in units of the cell vectors:
Si: 0.000 0.000 0.000
Te: 0.242 0.758 0.500
Te: 0.758 0.242 0.500
As: 0.500 0.500 0.000

* total moment: 0.0 μB per formula unit
* energy relative to the elements, uncorrected: 25 kJ per mole of atoms
* volume: 25.45 A^3/atom
* ΔE to the lowest computed polymorph: 0.131 eV per atom
* space group: No. 65